Ti7V5Rh after structural relaxation. Source: Alexandria via LeMat-Bulk, functional PBE.

Calculated values
Crystal system   orthorhombic
Magnetization   0.00 μB/cell
E   -8.27 eV per atom
ΔE_f   0.051 eV per atom

POSCAR file:
```
Ti7V5Rh
1.0
-2.540 4.373 4.632
2.540 -4.373 4.632
2.540 4.373 -4.632
Ti V Rh
7 5 1
Direct
0.000 0.000 0.000
0.180 0.476 0.704
0.312 0.970 0.342
0.345 0.345 0.000
0.629 0.970 0.658
0.759 0.259 0.500
0.771 0.476 0.296
0.185 0.685 0.500
0.461 0.465 0.480
0.461 0.981 0.996
0.985 0.465 0.004
0.985 0.981 0.520
0.620 0.620 0.000
```

***

TiV2Rh7 after structural relaxation. Source: Alexandria via LeMat-Bulk, functional PBE.

Calculated values
Crystal system   orthorhombic
Magnetization   0.00 μB/cell
E   -7.50 eV per atom
ΔE_f   0.263 eV per atom

POSCAR file:
```
TiV2Rh7
1.0
3.542 -6.008 0.000
3.542 6.008 0.000
0.000 0.000 4.137
Ti V Rh
1 2 7
Direct
0.000 0.000 0.000
0.300 0.700 0.500
0.700 0.300 0.500
0.078 0.304 0.500
0.213 0.787 0.000
0.304 0.078 0.500
0.500 0.500 0.500
0.696 0.922 0.500
0.787 0.213 0.000
0.922 0.696 0.500
```

***

TiV2Rh5 after structural relaxation. Source: Alexandria via LeMat-Bulk, functional PBE.

Calculated values
Crystal system   orthorhombic
Magnetization   2.07 μB/cell
E   -8.32 eV per atom
ΔE_f   -0.462 eV per atom

POSCAR file:
```
TiV2Rh5
1.0
5.388 0.000 0.000
0.000 10.603 0.000
0.000 0.000 3.978
Ti V Rh
2 4 10
Direct
0.000 0.000 0.000
0.500 0.500 0.000
0.183 0.357 0.500
0.317 0.857 0.500
0.683 0.143 0.500
0.817 0.643 0.500
0.000 0.500 0.000
0.063 0.759 0.000
0.211 0.111 0.500
0.289 0.611 0.500
0.437 0.259 0.000
0.500 0.000 0.000
0.563 0.741 0.000
0.711 0.389 0.500
0.789 0.889 0.500
0.937 0.241 0.000
```

***

TiVRh4 after structural relaxation. Source: Alexandria via LeMat-Bulk, functional PBE.

Calculated values
Excess energy over the best structure of this formula in the dataset   0 kJ/mol of formula units
Crystal system   monoclinic
Magnetization   0.00 μB/cell
E   -8.13 eV per atom
ΔE_f   -0.391 eV per atom

POSCAR file:
```
TiVRh4
1.0
5.216 -1.477 0.000
5.216 1.477 0.000
-1.684 0.000 5.676
Ti V Rh
1 1 4
Direct
0.000 0.000 0.000
0.000 0.000 0.500
0.349 0.349 0.179
0.352 0.352 0.670
0.648 0.648 0.330
0.651 0.651 0.821
```

***

TiVRh4 after structural relaxation. Source: Alexandria via LeMat-Bulk, functional PBE.

Calculated values
Excess energy over the best structure of this formula in the dataset   100 kJ/mol of formula units
Crystal system   tetragonal
Magnetization   0.00 μB/cell
E   -7.96 eV per atom
ΔE_f   -0.219 eV per atom

POSCAR file:
```
TiVRh4
1.0
4.090 0.000 0.000
0.000 4.090 0.000
0.000 0.000 5.812
Ti V Rh
1 1 4
Direct
0.000 0.000 0.000
0.500 0.500 0.500
0.000 0.500 0.256
0.000 0.500 0.744
0.500 0.000 0.256
0.500 0.000 0.744
```

***

Ti3VRh after structural relaxation. Source: Alexandria via LeMat-Bulk, functional PBE.

Calculated values
Excess energy over the best structure of this formula in the dataset   0 kJ/mol of formula units
Crystal system   cubic
Magnetization   3.08 μB/cell
E   -7.42 eV per atom
ΔE_f   0.606 eV per atom

POSCAR file:
```
Ti3VRh
1.0
4.694 0.000 0.000
0.000 4.694 0.000
0.000 0.000 4.694
Ti V Rh
3 1 1
Direct
0.000 0.000 0.500
0.000 0.500 0.000
0.500 0.000 0.000
0.500 0.500 0.500
0.000 0.000 0.000
```

***

TiVRh2 after structural relaxation. Source: Alexandria via LeMat-Bulk, functional PBE.

Calculated values
Excess energy over the best structure of this formula in the dataset   168 kJ/mol of formula units
Crystal system   tetragonal
Magnetization   0.02 μB/cell
E   -8.02 eV per atom
ΔE_f   -0.095 eV per atom

POSCAR file:
```
TiVRh2
1.0
-3.390 3.390 2.712
3.390 -3.390 2.712
3.390 3.390 -2.712
Ti V Rh
2 2 4
Direct
0.000 0.000 0.000
0.750 0.250 0.500
0.250 0.750 0.500
0.500 0.500 0.000
0.147 0.625 0.022
0.375 0.397 0.522
0.603 0.125 0.978
0.875 0.853 0.478
```

***

Ti2VRh8 after structural relaxation. Source: Alexandria via LeMat-Bulk, functional PBE.

Calculated values
Crystal system   monoclinic
Magnetization   0.00 μB/cell
E   -8.07 eV per atom
ΔE_f   -0.461 eV per atom

POSCAR file:
```
Ti2VRh8
1.0
6.886 -1.938 0.000
6.886 1.938 0.000
-1.729 0.000 5.904
Ti V Rh
2 1 8
Direct
0.226 0.226 0.161
0.774 0.774 0.839
0.500 0.500 0.500
0.042 0.042 0.225
0.137 0.137 0.681
0.322 0.322 0.592
0.404 0.404 0.048
0.596 0.596 0.952
0.678 0.678 0.408
0.863 0.863 0.319
0.958 0.958 0.775
```

***

TiVRhW after structural relaxation. Source: Alexandria via LeMat-Bulk, functional PBE.

Calculated values
Crystal system   cubic
Magnetization   0.00 μB/cell
E   -9.64 eV per atom
ΔE_f   -0.311 eV per atom

POSCAR file:
```
TiVRhW
1.0
0.000 3.090 3.090
3.090 0.000 3.090
3.090 3.090 0.000
Ti V Rh W
1 1 1 1
Direct
0.000 0.000 0.000
0.500 0.500 0.500
0.750 0.750 0.750
0.250 0.250 0.250
```

***

TiRh6W after structural relaxation. Source: Alexandria via LeMat-Bulk, functional PBE.

Calculated values
Crystal system   tetragonal
Magnetization   0.00 μB/cell
E   -8.59 eV per atom
ΔE_f   -0.473 eV per atom

POSCAR file:
```
TiRh6W
1.0
5.457 0.000 0.000
0.000 5.457 0.000
0.000 0.000 3.863
Ti Rh W
1 6 1
Direct
0.000 0.000 0.000
0.000 0.500 0.000
0.252 0.252 0.500
0.252 0.748 0.500
0.500 0.000 0.000
0.748 0.252 0.500
0.748 0.748 0.500
0.500 0.500 0.000
```

***

Ti3Rh2W after structural relaxation. Source: Alexandria via LeMat-Bulk, functional PBE.

Calculated values
Crystal system   tetragonal
Magnetization   0.00 μB/cell
E   -9.13 eV per atom
ΔE_f   -0.568 eV per atom

POSCAR file:
```
Ti3Rh2W
1.0
3.138 0.000 0.000
0.000 3.138 0.000
0.000 0.000 9.348
Ti Rh W
3 2 1
Direct
0.000 0.000 0.000
0.000 0.000 0.335
0.000 0.000 0.665
0.500 0.500 0.159
0.500 0.500 0.841
0.500 0.500 0.500
```

***

TiRh5W after structural relaxation. Source: Alexandria via LeMat-Bulk, functional PBE.

Calculated values
Crystal system   tetragonal
Magnetization   0.00 μB/cell
E   -8.43 eV per atom
ΔE_f   -0.204 eV per atom

POSCAR file:
```
TiRh5W
1.0
3.981 0.000 0.000
0.000 3.981 0.000
0.000 0.000 6.823
Ti Rh W
1 5 1
Direct
0.000 0.000 0.000
0.000 0.000 0.500
0.000 0.500 0.230
0.000 0.500 0.770
0.500 0.000 0.230
0.500 0.000 0.770
0.500 0.500 0.500
```

***

TiRhW after structural relaxation. Source: Alexandria via LeMat-Bulk, functional PBE.

Calculated values
Crystal system   orthorhombic
Magnetization   0.00 μB/cell
E   -9.78 eV per atom
ΔE_f   -0.385 eV per atom

POSCAR file:
```
TiRhW
1.0
18.642 0.000 0.000
0.000 3.158 0.000
0.000 0.000 3.158
Ti Rh W
4 4 4
Direct
0.130 0.250 0.249
0.370 0.750 0.749
0.630 0.250 0.251
0.870 0.750 0.751
0.200 0.750 0.749
0.300 0.250 0.249
0.700 0.750 0.751
0.800 0.250 0.251
0.039 0.750 0.750
0.461 0.250 0.250
0.539 0.750 0.750
0.961 0.250 0.250
```

***

Ti6Rh5W after structural relaxation. Source: Alexandria via LeMat-Bulk, functional PBE.

Calculated values
Crystal system   monoclinic
Magnetization   0.00 μB/cell
E   -8.76 eV per atom
ΔE_f   -0.672 eV per atom

POSCAR file:
```
Ti6Rh5W
1.0
4.368 0.000 0.000
0.000 6.337 0.000
-2.152 0.000 6.548
Ti Rh W
6 5 1
Direct
0.000 0.248 0.000
0.000 0.752 0.000
0.335 0.249 0.669
0.335 0.751 0.669
0.665 0.249 0.331
0.665 0.751 0.331
0.166 0.500 0.333
0.169 0.000 0.339
0.500 0.500 0.000
0.831 0.000 0.661
0.834 0.500 0.667
0.500 0.000 0.000
```

***

TiRh9W2 after structural relaxation. Source: Alexandria via LeMat-Bulk, functional PBE.

Calculated values
Crystal system   tetragonal
Magnetization   0.00 μB/cell
E   -8.72 eV per atom
ΔE_f   -0.391 eV per atom

POSCAR file:
```
TiRh9W2
1.0
3.865 0.000 0.000
0.000 3.865 0.000
0.000 0.000 11.595
Ti Rh W
1 9 2
Direct
0.000 0.000 0.000
0.000 0.500 0.170
0.000 0.500 0.500
0.000 0.500 0.830
0.500 0.000 0.170
0.500 0.000 0.500
0.500 0.000 0.830
0.500 0.500 0.000
0.500 0.500 0.335
0.500 0.500 0.665
0.000 0.000 0.329
0.000 0.000 0.671
```

***

ZrTiRhW after structural relaxation. Source: Alexandria via LeMat-Bulk, functional PBE.

Calculated values
Crystal system   cubic
Magnetization   0.00 μB/cell
E   -9.49 eV per atom
ΔE_f   -0.301 eV per atom

POSCAR file:
```
ZrTiRhW
1.0
0.000 3.229 3.229
3.229 0.000 3.229
3.229 3.229 0.000
Zr Ti Rh W
1 1 1 1
Direct
0.000 0.000 0.000
0.500 0.500 0.500
0.250 0.250 0.250
0.750 0.750 0.750
```

***

YTiRh after structural relaxation. Source: Alexandria via LeMat-Bulk, functional PBE.

Calculated values
Crystal system   tetragonal
Magnetization   1.19 μB/cell
E   -7.75 eV per atom
ΔE_f   -0.510 eV per atom

POSCAR file:
```
YTiRh
1.0
3.941 0.000 0.000
0.000 3.941 0.000
0.000 0.000 7.918
Y Ti Rh
2 2 2
Direct
0.250 0.250 0.153
0.750 0.750 0.847
0.250 0.750 0.500
0.750 0.250 0.500
0.250 0.250 0.738
0.750 0.750 0.262
```

***

YTi3Rh after structural relaxation. Source: Alexandria via LeMat-Bulk, functional PBE.

Calculated values
Excess energy over the best structure of this formula in the dataset   688 kJ/mol of formula units
Crystal system   cubic
Magnetization   0.00 μB/cell
E   -5.93 eV per atom
ΔE_f   1.566 eV per atom

POSCAR file:
```
YTi3Rh
1.0
4.664 0.000 0.000
0.000 4.664 0.000
0.000 0.000 4.664
Y Ti Rh
1 3 1
Direct
0.000 0.000 0.000
0.000 0.000 0.500
0.000 0.500 0.000
0.500 0.000 0.000
0.500 0.500 0.500
```

***

Y2Ti2Rh after structural relaxation. Source: Alexandria via LeMat-Bulk, functional PBE.

Calculated values
Crystal system   tetragonal
Magnetization   0.00 μB/cell
E   -7.41 eV per atom
ΔE_f   -0.192 eV per atom

POSCAR file:
```
Y2Ti2Rh
1.0
6.555 0.000 0.000
0.000 6.555 0.000
0.000 0.000 5.088
Y Ti Rh
4 4 2
Direct
0.170 0.330 0.000
0.330 0.830 0.000
0.670 0.170 0.000
0.830 0.670 0.000
0.147 0.647 0.500
0.353 0.147 0.500
0.647 0.853 0.500
0.853 0.353 0.500
0.000 0.000 0.500
0.500 0.500 0.500
```

***

Y2TiRh after structural relaxation. Source: Alexandria via LeMat-Bulk, functional PBE.

Calculated values
Excess energy over the best structure of this formula in the dataset   80 kJ/mol of formula units
Crystal system   tetragonal
Magnetization   2.27 μB/cell
E   -6.97 eV per atom
ΔE_f   0.072 eV per atom

POSCAR file:
```
Y2TiRh
1.0
-3.971 3.971 3.053
3.971 -3.971 3.053
3.971 3.971 -3.053
Y Ti Rh
4 2 2
Direct
0.079 0.625 0.954
0.375 0.329 0.454
0.671 0.125 0.046
0.875 0.921 0.546
0.250 0.750 0.500
0.500 0.500 0.000
0.000 0.000 0.000
0.750 0.250 0.500
```